Compound: TlNiS
Source: the Alexandria database
Functional: PBE-GGA
Structure: optimized geometry

Output
Formation energy without anion corrections, eV/atom: -0.296
Total magnetic moment, μB/f.u.: 0.0
DOS(E_F), states/eV/cell: 2.4
DFT total energy, eV per atom: -4.39
Crystal system: monoclinic

Cell: 6.447 6.265 7.558 Å, 90.00 119.14 90.00°
Space group P2_1/c (No. 14)
Symmetry-distinct sites (fractional):
1 Tl 0.157 0.086 0.364 x4
2 Ni 0.463 0.648 0.386 x4
3 S 0.371 0.651 0.628 x4

Compound: CsReW3
Source: the Alexandria database
Functional: PBE-GGA
Structure: optimized geometry

Output
Total magnetic moment, μB/f.u.: 0.0
DOS(E_F), states/eV/cell: 5.8
DFT total energy, eV per atom: -8.10
Crystal system: cubic

Cell: 4.957 4.957 4.957 Å, 90.00 90.00 90.00°
Space group Pm-3m (No. 221)
Symmetry-distinct sites (fractional):
1 Cs 0.000 0.000 0.000 x1
2 Re 0.500 0.500 0.500 x1
3 W 0.000 0.500 0.500 x3

Compound: InTc2Sb
Source: the Alexandria database
Functional: PBE-GGA
Structure: optimized geometry

Output
Formation energy without anion corrections, eV/atom: 0.476
Total magnetic moment, μB/f.u.: 0.0
DOS(E_F), states/eV/cell: 7.5
DFT total energy, eV per atom: -6.42
Crystal system: tetragonal

Cell: 4.011 4.011 8.824 Å, 90.00 90.00 90.00°
Space group I-4m2 (No. 119)
Symmetry-distinct sites (fractional):
1 In 0.000 0.000 0.000 x2
2 Tc 0.000 0.000 0.500 x2
3 Tc 0.000 0.500 0.250 x2
4 Sb 0.000 0.500 0.750 x2

Compound: AlZn3Au4
Source: the Alexandria database
Functional: PBE-GGA
Structure: optimized geometry

Output
Total magnetic moment, μB/f.u.: 0.0
DOS(E_F), states/eV/cell: 4.2
DFT total energy, eV per atom: -2.70
Crystal system: orthorhombic

Cell: 5.699 9.230 5.237 Å, 90.00 90.00 90.00°
Space group Imm2 (No. 44)
Symmetry-distinct sites (fractional):
1 Al 0.000 0.000 0.000 x2
2 Zn 0.000 0.265 0.758 x4
3 Zn 0.000 0.500 0.496 x2
4 Au 0.000 0.236 0.253 x4
5 Au 0.248 0.000 0.545 x4

Compound: Cs2Hg
Source: the Alexandria database
Functional: PBE-GGA
Structure: optimized geometry

Output
Total magnetic moment, μB/f.u.: 0.0
DOS(E_F), states/eV/cell: 25.8
DFT total energy, eV per atom: -0.54
Crystal system: cubic

Cell: 13.564 13.564 13.564 Å, 90.00 90.00 90.00°
Space group Fd-3m (No. 227, origin choice 2)
Symmetry-distinct sites (fractional):
1 Cs 0.000 0.000 0.000 x16
2 Hg 0.125 0.125 0.625 x8

Compound: Fe2SiSe2
Source: the Alexandria database
Functional: PBE-GGA
Structure: optimized geometry

Output
Formation energy without anion corrections, eV/atom: 0.569
Total magnetic moment, μB/f.u.: 0.0
DOS(E_F), states/eV/cell: 15.8
DFT total energy, eV per atom: -5.29
Crystal system: tetragonal

Cell: 7.215 7.215 2.855 Å, 90.00 90.00 90.00°
Space group P4/mbm (No. 127)
Symmetry-distinct sites (fractional):
1 Fe 0.131 0.369 0.000 x4
2 Si 0.000 0.000 0.500 x2
3 Se 0.148 0.648 0.500 x4

Compound: Pa3CoGe
Source: the Alexandria database
Functional: PBE-GGA
Structure: optimized geometry

Output
Total magnetic moment, μB/f.u.: 0.0
DOS(E_F), states/eV/cell: 15.5
DFT total energy, eV per atom: -8.27
Crystal system: triclinic

Cell: 5.137 6.353 6.566 Å, 93.15 92.26 93.10°
Space group P1 (No. 1)
Symmetry-distinct sites (fractional):
1 Pa 0.000 0.000 0.000 x1
2 Pa 0.011 0.564 0.330 x1
3 Pa 0.034 0.119 0.411 x1
4 Pa 0.106 0.439 0.860 x1
5 Pa 0.510 0.870 0.652 x1
6 Pa 0.524 0.301 0.136 x1
7 Co 0.014 0.787 0.658 x1
8 Co 0.671 0.608 0.892 x1
9 Ge 0.502 0.816 0.180 x1
10 Ge 0.570 0.348 0.602 x1

Compound: Ce2Dy3YTe6
Source: the Alexandria database
Functional: PBE-GGA
Structure: optimized geometry

Output
Formation energy without anion corrections, eV/atom: -1.322
Total magnetic moment, μB/f.u.: 2.6
DOS(E_F), states/eV/cell: 34.4
DFT total energy, eV per atom: -5.57
Crystal system: monoclinic

Cell: 19.241 4.367 8.878 Å, 90.00 104.10 90.00°
Space group C2/m (No. 12)
Symmetry-distinct sites (fractional):
1 Ce 0.168 0.000 0.336 x4
2 Dy 0.000 0.500 0.500 x2
3 Dy 0.168 0.000 0.834 x4
4 Y 0.000 0.500 0.000 x2
5 Te 0.003 0.000 0.751 x4
6 Te 0.164 0.500 0.590 x4
7 Te 0.166 0.500 0.076 x4

Compound: CuF2
Source: the Alexandria database
Functional: PBE-GGA
Structure: optimized geometry

Output
Formation energy without anion corrections, eV/atom: -1.518
Total magnetic moment, μB/f.u.: 1.0
DOS(E_F), states/eV/cell: 2.4
DFT total energy, eV per atom: -4.13
Crystal system: monoclinic

Cell: 3.147 4.713 5.662 Å, 90.00 123.56 90.00°
Space group P2_1/c (No. 14)
Symmetry-distinct sites (fractional):
1 Cu 0.000 0.000 0.000 x2
2 F 0.304 0.195 0.805 x4

Compound: Hf2Mn3Ga4
Source: the Alexandria database
Functional: PBE-GGA
Structure: optimized geometry

Output
Total magnetic moment, μB/f.u.: 6.5
DOS(E_F), states/eV/cell: 24.7
DFT total energy, eV per atom: -6.85
Crystal system: orthorhombic

Cell: 5.459 14.127 7.328 Å, 90.00 90.00 90.00°
Space group Cmce (No. 64)
Symmetry-distinct sites (fractional):
1 Hf 0.000 0.117 0.089 x8
2 Mn 0.000 0.000 0.500 x4
3 Mn 0.250 0.220 0.750 x8
4 Ga 0.000 0.180 0.462 x8
5 Ga 0.250 0.045 0.750 x8

Compound: SiBiS3
Source: the Alexandria database
Functional: PBE-GGA
Structure: optimized geometry

Output
Formation energy without anion corrections, eV/atom: 0.840
Total magnetic moment, μB/f.u.: 0.0
DOS(E_F), states/eV/cell: 3.7
DFT total energy, eV per atom: -3.50
Crystal system: cubic

Cell: 5.170 5.170 5.170 Å, 90.00 90.00 90.00°
Space group Pm-3m (No. 221)
Symmetry-distinct sites (fractional):
1 Si 0.000 0.000 0.000 x1
2 Bi 0.500 0.500 0.500 x1
3 S 0.000 0.500 0.500 x3

Compound: LiCdIr2
Source: the Alexandria database
Functional: PBE-GGA
Structure: optimized geometry

Output
Total magnetic moment, μB/f.u.: 0.0
DOS(E_F), states/eV/cell: 6.7
DFT total energy, eV per atom: -5.13
Crystal system: orthorhombic

Cell: 2.871 4.543 9.142 Å, 90.00 90.00 90.00°
Space group Immm (No. 71)
Symmetry-distinct sites (fractional):
1 Li 0.000 0.000 0.000 x2
2 Cd 0.000 0.000 0.500 x2
3 Ir 0.000 0.500 0.268 x4

> What is the formula in the eighth record?

Ce2Dy3YTe6